A plane-wave DFT calculation with PBE was carried out for a relaxed NdSc7Al4 crystal.

Properties
* final energy: -65.1 eV/f.u.

Unit cell a=13.071 b=5.161 c=9.960 alpha=90.00 beta=124.73 gamma=90.00
Space group C2/m (No. 12)
Asymmetric unit:
Nd1 0.000 0.000 0.000 x2
Sc1 0.000 0.500 0.000 x2
Sc2 0.063 0.000 0.389 x4
Sc3 0.191 0.500 0.630 x4
Sc4 0.216 0.000 0.874 x4
Al1 0.060 0.500 0.771 x4
Al2 0.181 0.500 0.331 x4